# BaNaIF2

A geometry-optimized BaNaIF2 structure (PBE-GGA, the Alexandria database).

a = 4.483 Å, b = 4.483 Å, c = 7.163 Å
α = 90.00°, β = 90.00°, γ = 90.00°
Space group P4mm (No. 99)
Asymmetric unit:
Ba1 0.000 0.000 0.000 x1
Na1 0.500 0.500 0.294 x1
I1 0.500 0.500 0.736 x1
F1 0.000 0.500 0.185 x2

Results
The value obtained for the uncorrected formation energy is -270 kJ per mole of atoms. As for the density of states at the Fermi level: 0.0 states/eV per cell.